An optimized crystal structure of Tb8Nd2Pb. Source: Alexandria via LeMat-Bulk, functional GGA-PBE.

Uncorrected energy = -102.2 eV per cell
Total magnetization = 0.0 μB per formula unit
Energy of formation from the pure elements = -0.80 eV per formula unit

Unit cell a=18.2502 b=4.9694 c=7.9688 alpha=90.00 beta=105.23 gamma=90.00
Closest atoms and distances in Å follow each position.
Space group C2/m (No. 12)
Inequivalent atoms, fractional coordinates:
Tb: 0.0442 0.0000 0.2242  9 Tb 3.49-3.59, 1 Nd 3.50, 2 Pb 3.55
Tb: 0.0891 0.5000 0.9419  1 Pb 3.47, 8 Tb 3.49-3.64, 3 Nd 3.52-3.66
Tb: 0.1353 0.0000 0.6766  7 Tb 3.51-3.59, 2 Pb 3.53, 3 Nd 3.57-3.64
Tb: 0.1809 0.5000 0.4071  3 Nd 3.51-3.63, 8 Tb 3.52-3.64, 1 Pb 3.57
Nd: 0.2215 0.0000 0.1333  10 Tb 3.50-3.66, 2 Nd 3.60
Pb: 0.0000 0.5000 0.5000  12 Tb 3.47-3.57



An optimized crystal structure of TbNd5Pb5. Source: Alexandria via LeMat-Bulk, functional GGA-PBE.

Uncorrected energy = -101.2 eV per cell
Total magnetization = 0.6 μB per formula unit
Energy of formation from the pure elements = -3.57 eV per formula unit

Unit cell a=14.7402 b=6.4054 c=8.7020 alpha=90.00 beta=107.40 gamma=90.00
Closest atoms and distances in Å follow each position.
Space group C2/m (No. 12)
Inequivalent atoms, fractional coordinates:
Tb: 0.0000 0.0000 0.0000  6 Pb 3.15-3.20
Nd: 0.0000 0.0000 0.5000  4 Pb 3.17-3.18
Nd: 0.1653 0.5000 0.8291  5 Pb 3.20-3.24
Nd: 0.1687 0.5000 0.3339  5 Pb 3.20-3.23
Pb: 0.0000 0.5000 0.0000  2 Tb 3.20, 4 Nd 3.21
Pb: 0.1633 0.0000 0.3310  1 Tb 3.15, 5 Nd 3.17-3.23
Pb: 0.1638 0.0000 0.8350  1 Tb 3.16, 5 Nd 3.18-3.24



An optimized crystal structure of TbNd2Pb. Source: Alexandria via LeMat-Bulk, functional GGA-PBE.

Uncorrected energy = -71.1 eV per cell
Total magnetization = 0.0 μB per formula unit
Energy of formation from the pure elements = 0.10 eV per formula unit
Polymorph energy (0 for the lowest one) = 0.3456 eV per atom

Unit cell a=3.4952 b=27.1682 c=5.7482 alpha=90.00 beta=90.00 gamma=90.00
Closest atoms and distances in Å follow each position.
Space group Cmcm (No. 63)
Inequivalent atoms, fractional coordinates:
Tb: 0.0000 0.0284 0.2500  4 Tb 3.26-3.50, 3 Nd 3.30-3.37
Nd: 0.0000 0.0930 0.7500  3 Tb 3.30-3.37, 2 Pb 3.32, 2 Nd 3.50
Nd: 0.0000 0.1846 0.2500  5 Pb 3.22-3.38, 2 Nd 3.50
Pb: 0.0000 0.3031 0.2500  7 Nd 3.22-3.38, 2 Pb 3.50



An optimized crystal structure of TbNdTlPb. Source: Alexandria via LeMat-Bulk, functional GGA-PBE.

Uncorrected energy = -34.4 eV per cell
Total magnetization = 0.0 μB per formula unit
Energy of formation from the pure elements = -1.73 eV per formula unit
Polymorph energy (0 for the lowest one) = 0.0000 eV per atom

Unit cell a=5.0879 b=5.0879 c=8.9405 alpha=90.00 beta=90.00 gamma=90.00
Closest atoms and distances in Å follow each position.
Space group I-4m2 (No. 119)
Inequivalent atoms, fractional coordinates:
Tb: 0.0000 0.0000 0.0000  4 Tl 3.39, 4 Pb 3.39, 4 Nd 3.60
Nd: 0.0000 0.0000 0.5000  4 Tl 3.39, 4 Pb 3.39, 4 Tb 3.60
Tl: 0.0000 0.5000 0.7500  4 Tb 3.39, 4 Nd 3.39, 4 Pb 3.60
Pb: 0.0000 0.5000 0.2500  4 Tb 3.39, 4 Nd 3.39, 4 Tl 3.60



An optimized crystal structure of TbNdTlPb. Source: Alexandria via LeMat-Bulk, functional GGA-PBE.

Uncorrected energy = -68.3 eV per cell
Total magnetization = 0.0 μB per formula unit
Energy of formation from the pure elements = -1.59 eV per formula unit
Polymorph energy (0 for the lowest one) = 0.0350 eV per atom

Unit cell a=7.7600 b=7.7600 c=7.7600 alpha=90.00 beta=90.00 gamma=90.00
Closest atoms and distances in Å follow each position.
Space group F-43m (No. 216)
Inequivalent atoms, fractional coordinates:
Tb: 0.0000 0.0000 0.0000  4 Pb 3.36, 4 Tl 3.36
Nd: 0.0000 0.0000 0.5000  4 Tl 3.36, 4 Pb 3.36
Tl: 0.2500 0.2500 0.2500  4 Tb 3.36, 4 Nd 3.36
Pb: 0.2500 0.2500 0.7500  4 Nd 3.36, 4 Tb 3.36



An optimized crystal structure of Tb2Nd3Tm6Pb. Source: Alexandria via LeMat-Bulk, functional GGA-PBE.

Uncorrected energy = -109.4 eV per cell
Total magnetization = 0.0 μB per formula unit
Energy of formation from the pure elements = -0.61 eV per formula unit

Unit cell a=6.1131 b=10.5817 c=11.6294 alpha=90.00 beta=100.12 gamma=90.00
Closest atoms and distances in Å follow each position.
Space group C2/m (No. 12)
Inequivalent atoms, fractional coordinates:
Tb: 0.0000 0.1661 0.0000  6 Tm 3.47-3.48, 3 Tb 3.52-3.53, 3 Pb 3.53
Nd: 0.0000 0.0000 0.5000  6 Nd 3.52-3.53, 6 Tm 3.55-3.57
Nd: 0.0000 0.3329 0.5000  6 Nd 3.52-3.54, 6 Tm 3.55-3.58
Tm: 0.2446 0.3359 0.2448  1 Pb 3.44, 6 Tm 3.47-3.56, 2 Tb 3.47-3.48, 3 Nd 3.55-3.58
Tm: 0.2473 0.5000 0.7545  1 Pb 3.46, 6 Tm 3.47-3.56, 2 Tb 3.48, 3 Nd 3.55-3.57
Pb: 0.0000 0.5000 0.0000  6 Tm 3.44-3.46, 6 Tb 3.53